# NpMn2TlO8 (PBE+U, optimized geometry)
# **Calculated total energy**: -7.28 eV/atom
# **Symmetry**: P-3m1 (164)
data_NpMn2TlO8
_chemical_formula_sum 'Np1 Mn2 Tl1 O8'
_cell_length_a 5.761
_cell_length_b 5.761
_cell_length_c 7.820
_cell_angle_alpha 90.00
_cell_angle_beta 90.00
_cell_angle_gamma 120.00
_space_group_name_H-M_alt 'P 1'
_space_group_IT_number 1
loop_
_space_group_symop_operation_xyz
'x,y,z'
loop_
_atom_site_label
_atom_site_type_symbol
_atom_site_fract_x
_atom_site_fract_y
_atom_site_fract_z
Np1 Np 0.000 0.000 0.000
Mn1 Mn 0.333 0.667 0.759
Mn2 Mn 0.667 0.333 0.241
Tl1 Tl 0.000 0.000 0.500
O1 O 0.165 0.329 0.839
O2 O 0.165 0.835 0.839
O3 O 0.329 0.165 0.161
O4 O 0.333 0.667 0.549
O5 O 0.667 0.333 0.451
O6 O 0.671 0.835 0.839
O7 O 0.835 0.165 0.161
O8 O 0.835 0.671 0.161